# PBE-GGA EuHoZnNi, optimized geometry
# magnetization = 27.7 μB/cell
# formation energy = -20 kJ per mole of atoms
data_EuHoZnNi
_chemical_formula_sum 'Eu4 Ho4 Zn4 Ni4'
_cell_length_a 7.0507
_cell_length_b 7.0507
_cell_length_c 7.0507
_cell_angle_alpha 90.00
_cell_angle_beta 90.00
_cell_angle_gamma 90.00
_symmetry_space_group_name_H-M 'F -4 3 m'
_symmetry_Int_Tables_number 216
_symmetry_space_group_name_Hall 'F -4 2 3'
loop_
_atom_site_label
_atom_site_type_symbol
_atom_site_fract_x
_atom_site_fract_y
_atom_site_fract_z
Eu1 Eu 0.0000 0.0000 0.0000
Ho1 Ho 0.0000 0.0000 0.5000
Zn1 Zn 0.2500 0.2500 0.7500
Ni1 Ni 0.2500 0.2500 0.2500